[1]
{"formula": "ZnAg4Au4", "functional": "PBE", "state": "relaxed", "volume_a3_per_cell": 158, "dos_at_fermi_per_ev_fu": 2.73, "energy_ev_per_cell": -26.29, "magmom_total_mub_per_fu": 0.00, "lattice": [[4.1556, 0.0000, 0.0000], [2.0778, 6.1664, 0.0000], [2.0778, 0.0000, 6.1664]], "species": ["Au", "Au", "Ag", "Au", "Ag", "Ag", "Au", "Zn", "Ag"], "fractional_positions": [[0.9999, 0.3283, 0.6718], [0.6717, 0.3282, 0.3283], [0.3361, 0.0000, 0.3277], [0.3283, 0.6718, 0.6717], [0.6639, 0.6723, 0.0000], [0.6639, 0.0000, 0.6723], [0.0001, 0.6717, 0.3282], [0.0000, 0.0000, 0.0000], [0.3361, 0.3277, 0.0000]]}



[2]
{"formula": "TbMgSc2", "functional": "PBE", "state": "relaxed", "volume_a3_per_cell": 103, "dos_at_fermi_per_ev_fu": 6.91, "energy_ev_per_cell": -18.45, "magmom_total_mub_per_fu": 0.70, "e_above_lowest_polymorph_mev_per_atom": 115, "lattice": [[5.2651, 0.0000, 0.0000], [2.6325, 4.5597, 0.0000], [2.6325, 1.5199, 4.2989]], "species": ["Sc", "Sc", "Tb", "Mg"], "fractional_positions": [[0.7500, 0.7500, 0.7500], [0.2500, 0.2500, 0.2500], [0.0000, 0.0000, 0.0000], [0.5000, 0.5000, 0.5000]]}



[3]
{"formula": "AlCu", "functional": "PBE", "state": "relaxed", "volume_a3_per_cell": 27, "dos_at_fermi_per_ev_fu": 0.31, "energy_ev_per_cell": -8.12, "magmom_total_mub_per_fu": 0.00, "lattice": [[-2.2300, -0.9874, 1.3743], [2.5481, -0.1965, 1.1424], [-0.5116, 3.6071, 1.7615]], "species": ["Al", "Cu"], "fractional_positions": [[0.0000, 0.0000, 0.0000], [0.6667, 0.3333, 0.5000]]}



[4]
{"formula": "TbZn9Ni2", "functional": "PBE", "state": "relaxed", "volume_a3_per_cell": 362, "dos_at_fermi_per_ev_fu": 7.89, "energy_ev_per_cell": -61.53, "magmom_total_mub_per_fu": 0.00, "e_above_lowest_polymorph_mev_per_atom": 0, "lattice": [[6.1124, 0.0000, 2.8141], [3.0562, 7.3395, 1.4070], [-0.0131, 0.0000, 8.0739]], "species": ["Zn", "Zn", "Zn", "Tb", "Zn", "Tb", "Zn", "Zn", "Ni", "Ni", "Zn", "Zn", "Ni", "Zn", "Ni", "Zn", "Zn", "Zn", "Zn", "Zn", "Zn", "Zn", "Zn", "Zn"], "fractional_positions": [[0.6064, 0.0814, 0.3242], [0.3121, 0.6758, 0.0814], [0.3121, 0.0814, 0.6758], [0.5000, 0.0000, 0.0000], [0.6807, 0.5814, 0.1758], [0.2500, 0.5000, 0.5000], [0.0693, 0.3242, 0.9186], [0.4379, 0.8242, 0.4186], [0.8750, 0.2500, 0.2500], [0.8750, 0.7500, 0.2500], [0.4379, 0.4186, 0.8242], [0.1436, 0.1758, 0.4186], [0.8750, 0.2500, 0.7500], [0.0693, 0.9186, 0.3242], [0.3750, 0.7500, 0.7500], [0.7379, 0.8242, 0.5814], [0.0121, 0.6758, 0.9186], [0.6064, 0.3242, 0.0814], [0.7379, 0.5814, 0.8242], [0.7500, 0.5000, 0.5000], [0.0121, 0.9186, 0.6758], [0.1436, 0.4186, 0.1758], [0.6807, 0.1758, 0.5814], [0.0000, 0.0000, 0.0000]]}



[5]
{"formula": "CuMoS2Cl", "functional": "PBE", "state": "relaxed", "volume_a3_per_cell": 107, "dos_at_fermi_per_ev_fu": 4.86, "energy_ev_per_cell": -23.87, "magmom_total_mub_per_fu": 0.00, "e_above_lowest_polymorph_mev_per_atom": 0, "lattice": [[-3.7013, 0.8080, 2.6628], [-2.6114, -2.5391, -2.8594], [1.0356, -4.0807, 2.6779]], "species": ["S", "S", "Cu", "Cl", "Mo"], "fractional_positions": [[0.0000, 0.5000, 0.0000], [0.5000, 0.0000, 0.0000], [0.5000, 0.5000, 0.5000], [0.0000, 0.0000, 0.5000], [0.0000, 0.0000, 0.0000]]}



[6]
{"formula": "BeAgN", "functional": "PBE", "state": "relaxed", "volume_a3_per_cell": 100, "dos_at_fermi_per_ev_fu": 0.00, "energy_ev_per_cell": -31.05, "magmom_total_mub_per_fu": 0.00, "lattice": [[6.2006, 0.0016, 0.0006], [-0.7868, 3.0208, -0.0001], [-2.2273, -2.1936, 5.3347]], "species": ["Ag", "N", "Be", "Be", "Ag", "N"], "fractional_positions": [[0.4158, 0.1642, 0.8298], [0.8082, 0.4133, 0.9357], [0.8503, 0.9134, 0.8939], [0.9812, 0.4147, 0.7656], [0.9158, 0.6642, 0.3298], [0.0234, 0.9149, 0.7238]]}



[7]
{"formula": "K3Rb4", "functional": "PBE", "state": "relaxed", "volume_a3_per_cell": 577, "dos_at_fermi_per_ev_fu": 5.56, "energy_ev_per_cell": -7.12, "magmom_total_mub_per_fu": 0.00, "lattice": [[-3.0815, -6.3703, -0.5491], [8.4065, -0.1784, 0.7663], [-2.2165, 0.1704, 10.4623]], "species": ["Rb", "K", "Rb", "K", "Rb", "K", "Rb"], "fractional_positions": [[0.9271, 0.8541, 0.7890], [0.6411, 0.2823, 0.9272], [0.0729, 0.1459, 0.2110], [0.3589, 0.7177, 0.0728], [0.7871, 0.5742, 0.3518], [0.5000, 0.0000, 0.5000], [0.2129, 0.4258, 0.6482]]}



[8]
{"formula": "CaCrCu", "functional": "PBE", "state": "relaxed", "volume_a3_per_cell": 66, "dos_at_fermi_per_ev_fu": 1.90, "energy_ev_per_cell": -14.46, "magmom_total_mub_per_fu": 4.42, "e_above_lowest_polymorph_mev_per_atom": 26, "lattice": [[4.4335, 0.0000, 0.0000], [-2.2168, 3.8396, 0.0000], [0.0000, 0.0000, 3.8927]], "species": ["Cr", "Ca", "Cu"], "fractional_positions": [[0.6667, 0.3333, 0.4996], [0.0000, 0.0000, 0.9997], [0.3333, 0.6667, 0.5007]]}



[9]
{"formula": "Zr4Sb3", "functional": "PBE", "state": "relaxed", "volume_a3_per_cell": 325, "dos_at_fermi_per_ev_fu": 5.06, "energy_ev_per_cell": -102.65, "magmom_total_mub_per_fu": 0.00, "e_above_lowest_polymorph_mev_per_atom": 0, "lattice": [[-3.5358, -5.4048, -3.8103], [5.4946, -3.0243, 4.1104], [-4.8759, 3.4751, 4.5146]], "species": ["Zr", "Zr", "Sb", "Sb", "Zr", "Sb", "Sb", "Zr", "Sb", "Zr", "Zr", "Zr", "Zr", "Sb"], "fractional_positions": [[0.5000, 0.8449, 0.5000], [0.6551, 0.1551, 0.1551], [0.3750, 0.1250, 0.7500], [0.8750, 0.2500, 0.6250], [0.8449, 0.5000, 0.0000], [0.1250, 0.3750, 0.2500], [0.7500, 0.6250, 0.3750], [0.0000, 0.0000, 0.3449], [0.2500, 0.8750, 0.1250], [0.5000, 0.3449, 0.5000], [0.3449, 0.5000, 0.0000], [0.1551, 0.6551, 0.6551], [0.0000, 0.0000, 0.8449], [0.6250, 0.7500, 0.8750]]}



[10]
{"formula": "La2Tb15Er2", "functional": "PBE", "state": "relaxed", "volume_a3_per_cell": 641, "dos_at_fermi_per_ev_fu": 31.74, "energy_ev_per_cell": -82.87, "magmom_total_mub_per_fu": 0.00, "lattice": [[-6.9705, 2.2404, -4.8004], [2.5423, -2.8023, -7.8953], [-4.1945, -7.6751, -0.3872]], "species": ["Er", "Tb", "Tb", "La", "La", "Tb", "Tb", "Tb", "Tb", "Tb", "Er", "Tb", "Tb", "Tb", "Tb", "Tb", "Tb", "Tb", "Tb"], "fractional_positions": [[0.3277, 0.3277, 0.3277], [0.0000, 0.0000, 0.5000], [0.8443, 0.3729, 0.3729], [0.1160, 0.1160, 0.1160], [0.8840, 0.8840, 0.8840], [0.6271, 0.1557, 0.6271], [0.0000, 0.6956, 0.3044], [0.3729, 0.3729, 0.8443], [0.1557, 0.6271, 0.6271], [0.6956, 0.3044, 0.0000], [0.6723, 0.6723, 0.6723], [0.3044, 0.6956, 0.0000], [0.0000, 0.3044, 0.6956], [0.5000, 0.0000, 0.0000], [0.3044, 0.0000, 0.6956], [0.3729, 0.8443, 0.3729], [0.0000, 0.5000, 0.0000], [0.6956, 0.0000, 0.3044], [0.6271, 0.6271, 0.1557]]}



[11]
{"formula": "TaTlCr2", "functional": "PBE", "state": "relaxed", "volume_a3_per_cell": 70, "dos_at_fermi_per_ev_fu": 4.56, "energy_ev_per_cell": -30.89, "magmom_total_mub_per_fu": 3.35, "e_above_lowest_polymorph_mev_per_atom": 264, "lattice": [[-5.4385, 4.8340, -4.8367], [-6.4006, 2.0099, -5.5973], [-7.4663, 3.3640, -3.0457]], "species": ["Ta", "Cr", "Tl", "Cr"], "fractional_positions": [[0.2500, 0.2500, 0.2500], [0.5081, 0.5081, 0.5081], [0.7500, 0.7500, 0.7500], [0.9919, 0.9919, 0.9919]]}



[12]
{"formula": "LiIn2Rh", "functional": "PBE", "state": "relaxed", "volume_a3_per_cell": 75, "dos_at_fermi_per_ev_fu": 1.69, "energy_ev_per_cell": -15.62, "magmom_total_mub_per_fu": 0.00, "e_above_lowest_polymorph_mev_per_atom": 198, "lattice": [[4.7354, -0.0111, 0.0255], [3.6519, 3.0146, 0.0255], [0.9637, 0.3451, 5.2556]], "species": ["In", "Li", "In", "Rh"], "fractional_positions": [[0.0099, 0.0099, 0.9870], [0.2500, 0.2500, 0.2500], [0.4901, 0.4901, 0.5130], [0.7500, 0.7500, 0.7500]]}